GGA-PBE Dy2TmTi, relaxed; crystal system = trigonal; magnetization = 1.8 μB/f.u.; DFT total energy = -4.9771 eV/atom; distance to the lowest polymorph of the same formula = 252 meV per atom
1.0
1.6694 0.9638 11.6263
-1.6694 0.9638 11.6263
0.0000 -1.9276 11.6263
Dy Tm Ti
2 1 1
Cartesian
0.0000 0.0000 2.9439
0.0000 0.0000 31.9350
0.0000 0.0000 17.4395
0.0000 0.0000 0.0000